1.
# Tb2ThMg5Sc2

A relaxed Tb2ThMg5Sc2 crystal (PBE, the Alexandria database).

**DFT formation energy**: 0.068 eV per atom

Cell: 10.2931 10.2931 5.0634 Å, 90.00 90.00 90.00°
Space group P4/mbm (No. 127)
Asymmetric unit:
Tb: 0.1783 0.3217 0.0000
Th: 0.0000 0.0000 0.0000
Mg: 0.0000 0.5000 0.5000
Mg: 0.0707 0.7953 0.5000
Sc: 0.1167 0.6167 0.0000

2.
# CdSn3Mo

A relaxed CdSn3Mo crystal (PBE, the Alexandria database).

**DFT formation energy**: 1.279 eV per atom

Cell: 5.4378 5.4378 5.4378 Å, 90.00 90.00 90.00°
Space group Pm-3m (No. 221)
Asymmetric unit:
Cd: 0.0000 0.0000 0.0000
Sn: 0.0000 0.0000 0.5000
Mo: 0.5000 0.5000 0.5000

3.
# BeTlZnIrBr

A relaxed BeTlZnIrBr crystal (PBE, the Alexandria database).

Cell: 18.0605 4.1821 3.0797 Å, 90.00 90.18 90.00°
Space group Cm (No. 8)
Asymmetric unit:
Be: 0.0000 0.0000 0.0000
Tl: 0.2378 0.0000 0.0059
Zn: 0.0932 0.5000 0.0021
Ir: 0.0971 0.0000 0.5022
Br: 0.4118 0.5000 0.4986

4.
# LiThCu

A relaxed LiThCu crystal (PBE, the Alexandria database).

**DFT formation energy**: 0.108 eV per atom

Cell: 3.4054 3.4054 10.5158 Å, 90.00 90.00 90.00°
Space group I4mm (No. 107)
Asymmetric unit:
Li: 0.0000 0.0000 0.0000
Th: 0.0000 0.0000 0.7123
Cu: 0.0000 0.0000 0.3929

5.
# Ir3Os

A relaxed Ir3Os crystal (PBE, the Alexandria database).

**DFT formation energy**: 0.026 eV per atom

Cell: 2.7307 2.7307 8.9663 Å, 90.00 90.00 120.00°
Space group P-3m1 (No. 164)
Asymmetric unit:
Ir: 0.0000 0.0000 0.0000
Ir: 0.3333 0.6667 0.7467
Os: 0.0000 0.0000 0.5000

6.
# CsLiRe2

A relaxed CsLiRe2 crystal (PBE, the Alexandria database).

**DFT formation energy**: 2.371 eV per atom

Cell: 6.5112 6.5112 6.5112 Å, 90.00 90.00 90.00°
Space group Fm-3m (No. 225)
Asymmetric unit:
Cs: 0.0000 0.0000 0.0000
Li: 0.0000 0.0000 0.5000
Re: 0.2500 0.2500 0.2500

7.
# Sr2PdPb4Au3

A relaxed Sr2PdPb4Au3 crystal (PBE, the Alexandria database).

**DFT formation energy**: -0.407 eV per atom

Cell: 4.8239 4.8239 11.9444 Å, 90.00 90.00 90.00°
Space group P-4m2 (No. 115)
Asymmetric unit:
Sr: 0.0000 0.5000 0.2308
Pd: 0.5000 0.5000 0.0000
Pb: 0.0000 0.0000 0.5000
Pb: 0.0000 0.5000 0.8802
Pb: 0.5000 0.5000 0.5000
Au: 0.0000 0.0000 0.0000
Au: 0.0000 0.5000 0.6468

8.
# Ca2TaAu

A relaxed Ca2TaAu crystal (PBE, the Alexandria database).

**DFT formation energy**: 0.251 eV per atom

Cell: 4.8289 3.5397 12.1496 Å, 90.00 90.00 90.00°
Space group Amm2 (No. 38)
Asymmetric unit:
Ca: 0.0000 0.0000 0.0000
Ca: 0.5000 0.0000 0.3277
Ta: 0.5000 0.0000 0.6134
Au: 0.0000 0.0000 0.7123

Uncorrected energy across the listed records, respectively: -73.26; -17.36; -37.19; -26.21; -37.71; -72.72; -37.29; -36.26 eV for the cell shown.